1.
Below is an optimized crystal structure of AsPI2N, with properties calculated at the PBE level.

Cell lengths 6.0505, 6.0505, 3.3009 Å; angles 90.00, 90.00, 90.00 degrees
Closest atoms and distances in Å follow each position.
Fractional positions:
I  0.0000  0.5000  0.0000  2 P 3.03, 2 I 3.30
I  0.5000  0.0000  0.0000  2 P 3.03, 2 I 3.30
As  0.5000  0.5000  0.5000  2 As 3.30, 8 I 3.45
N  0.0000  0.0000  0.5000  2 P 1.65
P  0.0000  0.0000  0.0000  2 N 1.65

## Properties
SG: No. 123
Fermi-level density of states in states/eV/f.u.: 3.9
Total energy in eV per atom: -3.50

=====

2.
Below is an optimized crystal structure of AsPI2N, with properties calculated at the PBE level.

Cell lengths 5.8510, 5.8510, 3.6368 Å; angles 90.00, 90.00, 90.00 degrees
Closest atoms and distances in Å follow each position.
Fractional positions:
I  0.5000  0.0000  0.0000  2 As 2.93
I  0.0000  0.5000  0.0000  2 As 2.93
As  0.0000  0.0000  0.0000  2 N 1.82
N  0.0000  0.0000  0.5000  2 As 1.82
P  0.5000  0.5000  0.5000  8 I 3.44, 2 P 3.64

## Properties
SG: No. 123
Fermi-level density of states in states/eV/f.u.: 3.0
Total energy in eV per atom: -3.15